A PBEsol-optimized structure of CoTe2Pd2, computed with SCAN. Values from VASP.

```
&SYSTEM
  ibrav = 0, nat = 10, ntyp = 3
/
ATOMIC_SPECIES
Co 58.93 Co.upf
Te 127.60 Te.upf
Pd 106.42 Pd.upf
CELL_PARAMETERS angstrom
-0.898 -3.696 3.487
5.176 -2.926 -1.768
0.737 6.139 2.878
ATOMIC_POSITIONS angstrom
Co -0.225 -0.924 0.872
Co -0.674 -2.772 2.615
Te 1.497 -1.651 2.453
Te 3.517 1.169 2.145
Te 0.110 0.993 4.899
Te 4.904 -1.476 -0.301
Pd 1.585 2.620 3.185
Pd 2.509 -0.480 0.138
Pd 2.506 -0.003 4.460
Pd 3.429 -3.102 1.414
```

Calculated values
* crystal system: orthorhombic
* total magnetization: 0.00 μB/f.u.
* electronic total energy: -31.77 eV/atom
* calculated density: 9943 kg/m3

A PBEsol-optimized structure of Ti2Co2Pd, computed with SCAN. Values from VASP.

```
&SYSTEM
  ibrav = 0, nat = 10, ntyp = 3
/
ATOMIC_SPECIES
Co 58.93 Co.upf
Pd 106.42 Pd.upf
Ti 47.87 Ti.upf
CELL_PARAMETERS angstrom
-0.766 2.001 1.873
-5.212 1.698 -3.945
-3.891 -4.492 3.208
ATOMIC_POSITIONS angstrom
Co -5.309 -3.278 1.332
Co -6.985 -1.356 -1.407
Co -3.794 0.484 -2.069
Co -2.118 -1.438 0.671
Pd 0.000 0.000 0.000
Pd -4.552 -1.397 -0.368
Ti -3.850 -1.712 2.418
Ti -7.101 -1.608 0.977
Ti -6.020 0.919 -1.281
Ti -2.768 0.815 0.159
```

Calculated values
* crystal system: tetragonal
* total magnetization: 0.00 μB/f.u.
* calculated density: 8187 kg/m3
* energy of formation from the pure elements: -0.360 eV per atom

A PBEsol-optimized structure of Ti3CoPd, computed with SCAN. Values from VASP.

```
&SYSTEM
  ibrav = 0, nat = 5, ntyp = 3
/
ATOMIC_SPECIES
Co 58.93 Co.upf
Pd 106.42 Pd.upf
Ti 47.87 Ti.upf
CELL_PARAMETERS angstrom
-1.005 -1.835 -3.849
-3.819 -1.371 1.651
-1.896 3.734 -1.285
ATOMIC_POSITIONS angstrom
Co 0.000 0.000 0.000
Pd -3.360 0.264 -1.741
Ti -1.910 -0.686 0.826
Ti -0.948 1.867 -0.643
Ti -0.503 -0.918 -1.925
```

Calculated values
* crystal system: cubic
* total magnetization: 0.00 μB/f.u.
* calculated density: 6101 kg/m3
* energy of formation from the pure elements: 0.170 eV per atom